No. 1
A geometry-optimized Ba2B2PbS6 structure. Source: Alexandria via LeMat-Bulk, functional PBE.

Unit cell a=11.644 b=6.599 c=8.308 alpha=90.00 beta=117.86 gamma=90.00
Space group C2/m (No. 12)
Unique sites:
Ba 0.206 0.000 0.209 x4
B 0.039 0.500 0.244 x4
Pb 0.000 0.000 0.500 x2
S 0.052 0.263 0.812 x8
S 0.216 0.500 0.353 x4

formation energy (no corrections): -1.079 eV/atom
DOS at the Fermi energy: 0.00 states/eV per cell
calculated volume: 25.66 Å³ per atom

=====

No. 2
A geometry-optimized YPuRuPt structure. Source: Alexandria via LeMat-Bulk, functional PBE.

Unit cell a=6.898 b=6.898 c=6.898 alpha=90.00 beta=90.00 gamma=90.00
Space group F-43m (No. 216)
Unique sites:
Y 0.000 0.000 0.000 x4
Pu 0.000 0.000 0.500 x4
Ru 0.250 0.250 0.250 x4
Pt 0.250 0.250 0.750 x4

DOS at the Fermi energy: 31.81 states/eV per cell
calculated volume: 20.51 Å³ per atom
E_form: -0.54 eV/atom

=====

No. 3
A geometry-optimized Sr3Al2Cu9 structure. Source: Alexandria via LeMat-Bulk, functional PBE.

Unit cell a=4.199 b=10.149 c=12.606 alpha=90.00 beta=90.00 gamma=90.00
Space group Immm (No. 71)
Unique sites:
Sr 0.000 0.000 0.000 x2
Sr 0.000 0.000 0.295 x4
Al 0.000 0.211 0.500 x4
Cu 0.000 0.285 0.106 x8
Cu 0.000 0.292 0.307 x8
Cu 0.000 0.500 0.000 x2

DOS at the Fermi energy: 10.93 states/eV per cell
calculated volume: 19.19 Å³ per atom
E_form: -0.12 eV/atom

=====

No. 4
A geometry-optimized SrZrSeO2 structure. Source: Alexandria via LeMat-Bulk, functional PBE.

Unit cell a=4.051 b=4.051 c=6.123 alpha=90.00 beta=90.00 gamma=90.00
Space group P4mm (No. 99)
Unique sites:
Sr 0.000 0.000 0.000 x1
Zr 0.500 0.500 0.354 x1
Se 0.500 0.500 0.777 x1
O 0.000 0.500 0.261 x2

formation energy (no corrections): -2.728 eV/atom
energy above the most stable polymorph in this dataset: 0 meV per atom
DOS at the Fermi energy: 0.00 states/eV per cell
calculated volume: 20.09 Å³ per atom

=====

No. 5
A geometry-optimized Y4Ho4Th structure. Source: Alexandria via LeMat-Bulk, functional PBE.

Unit cell a=10.669 b=10.669 c=5.035 alpha=90.00 beta=90.00 gamma=90.00
Space group I4/mmm (No. 139)
Unique sites:
Y 0.000 0.330 0.000 x8
Ho 0.164 0.164 0.500 x8
Th 0.000 0.000 0.000 x2

energy above the most stable polymorph in this dataset: 0 meV per atom
DOS at the Fermi energy: 29.27 states/eV per cell
calculated volume: 31.84 Å³ per atom
E_form: 0.03 eV/atom

=====

No. 6
A geometry-optimized La2Nd5Tm12 structure. Source: Alexandria via LeMat-Bulk, functional PBE.

Unit cell a=6.306 b=8.868 c=11.979 alpha=71.61 beta=78.46 gamma=76.85
Space group P-1 (No. 2)
Unique sites:
La 0.231 0.464 0.435 x2
Nd 0.000 0.000 0.000 x1
Nd 0.224 0.330 0.011 x2
Nd 0.353 0.844 0.498 x2
Tm 0.079 0.124 0.673 x2
Tm 0.147 0.203 0.318 x2
Tm 0.252 0.450 0.711 x2
Tm 0.254 0.617 0.142 x2
Tm 0.327 0.733 0.827 x2
Tm 0.462 0.934 0.168 x2

energy above the most stable polymorph in this dataset: 0 meV per atom
DOS at the Fermi energy: 25.67 states/eV per cell
calculated volume: 32.26 Å³ per atom
E_form: 0.07 eV/atom

=====

No. 7
A geometry-optimized LiZnW structure. Source: Alexandria via LeMat-Bulk, functional PBE.

Unit cell a=2.7403 b=2.7403 c=7.1092 alpha=90.00 beta=90.00 gamma=120.00
Space group P3m1 (No. 156)
Unique sites:
Li 0.0000 0.0000 0.0000 x1
Zn 0.3333 0.6667 0.6760 x1
W 0.6667 0.3333 0.3441 x1

energy above the most stable polymorph in this dataset: 25 meV per atom
DOS at the Fermi energy: 1.87 states/eV per cell
calculated volume: 15.41 Å³ per atom
E_form: 0.27 eV/atom

=====

No. 8
A geometry-optimized InSbPb structure. Source: Alexandria via LeMat-Bulk, functional PBE.

Unit cell a=7.507 b=7.507 c=7.507 alpha=90.00 beta=90.00 gamma=90.00
Space group F-43m (No. 216)
Unique sites:
In 0.000 0.000 0.000 x4
Sb 0.250 0.250 0.750 x4
Pb 0.000 0.000 0.500 x4

formation energy (no corrections): 0.054 eV/atom
energy above the most stable polymorph in this dataset: 39 meV per atom
DOS at the Fermi energy: 4.30 states/eV per cell
calculated volume: 35.26 Å³ per atom

=====

| no. | VASP energy (hartree per atom) | magnetic moment (Bohr magnetons per cell) |
| --- | --- | --- |
| 1 | -0.1922 | 0.00 |
| 2 | -0.3518 | 17.87 |
| 3 | -0.1341 | 0.00 |
| 4 | -0.2739 | 0.00 |
| 5 | -0.2095 | 0.00 |
| 6 | -0.1665 | 0.00 |
| 7 | -0.1877 | 0.00 |
| 8 | -0.1275 | 0.00 |